# CuReSi2 PBE-GGA relaxed
data_CuReSi2
_space_group_name_H-M_alt 'P 1'
_space_group_IT_number 1
_cell_length_a 2.821
_cell_length_b 2.821
_cell_length_c 7.990
_cell_angle_alpha 90.00
_cell_angle_beta 90.00
_cell_angle_gamma 116.62
loop_
_space_group_symop_operation_xyz
'x,y,z'
loop_
_atom_site_label
_atom_site_type_symbol
_atom_site_fract_x
_atom_site_fract_y
_atom_site_fract_z
Cu1 Cu 0.500 0.500 0.250
Re1 Re 0.500 0.500 0.750
Si1 Si 0.000 0.000 0.996
Si2 Si 0.000 0.000 0.504
# SG = Cmmm (65)
# energy = -26.237 eV for the cell shown
# ΔE_f (raw) = 111 kJ/mol of formula units
# offset from the most stable computed form = 165 kJ/mol of formula units

---

# CaMoW3 PBE-GGA relaxed
data_CaMoW3
_space_group_name_H-M_alt 'P 1'
_space_group_IT_number 1
_cell_length_a 4.838
_cell_length_b 4.838
_cell_length_c 4.838
_cell_angle_alpha 90.00
_cell_angle_beta 90.00
_cell_angle_gamma 90.00
loop_
_space_group_symop_operation_xyz
'x,y,z'
loop_
_atom_site_label
_atom_site_type_symbol
_atom_site_fract_x
_atom_site_fract_y
_atom_site_fract_z
Mo1 Mo 0.000 0.000 0.000
Ca1 Ca 0.500 0.500 0.500
W1 W 0.000 0.500 0.000
W2 W 0.000 0.000 0.500
W3 W 0.500 0.000 0.000
# E_form = 1.7084 eV per atom
# SG = Pm-3m (221)
# energy = -43.150 eV for the cell shown
# offset from the most stable computed form = 0 kJ/mol of formula units

---

# LaHCN2 PBE-GGA relaxed
data_LaHCN2
_space_group_name_H-M_alt 'P 1'
_space_group_IT_number 1
_cell_length_a 3.999
_cell_length_b 3.259
_cell_length_c 3.999
_cell_angle_alpha 90.00
_cell_angle_beta 90.00
_cell_angle_gamma 90.00
loop_
_space_group_symop_operation_xyz
'x,y,z'
loop_
_atom_site_label
_atom_site_type_symbol
_atom_site_fract_x
_atom_site_fract_y
_atom_site_fract_z
H1 H 0.000 0.000 0.000
C1 C 0.000 0.500 0.000
N1 N 0.000 0.000 0.500
N2 N 0.500 0.000 0.000
La1 La 0.500 0.500 0.500
# SG = P4/mmm (123)
# energy = -27.700 eV for the cell shown
# offset from the most stable computed form = 969 kJ/mol of formula units

---

# ScInO2F PBE-GGA relaxed
data_ScInO2F
_space_group_name_H-M_alt 'P 1'
_space_group_IT_number 1
_cell_length_a 4.251
_cell_length_b 4.251
_cell_length_c 4.217
_cell_angle_alpha 90.00
_cell_angle_beta 90.00
_cell_angle_gamma 90.00
loop_
_space_group_symop_operation_xyz
'x,y,z'
loop_
_atom_site_label
_atom_site_type_symbol
_atom_site_fract_x
_atom_site_fract_y
_atom_site_fract_z
Sc1 Sc 0.500 0.500 0.500
F1 F 0.000 0.000 0.500
O1 O 0.000 0.500 0.000
O2 O 0.500 0.000 0.000
In1 In 0.000 0.000 0.000
# SG = P4/mmm (123)
# energy = -28.694 eV for the cell shown
# ΔE_f (raw) = -756 kJ/mol of formula units

---

# NdZnCdNi PBE-GGA relaxed
data_NdZnCdNi
_space_group_name_H-M_alt 'P 1'
_space_group_IT_number 1
_cell_length_a 4.817
_cell_length_b 4.817
_cell_length_c 4.817
_cell_angle_alpha 60.00
_cell_angle_beta 60.00
_cell_angle_gamma 60.00
loop_
_space_group_symop_operation_xyz
'x,y,z'
loop_
_atom_site_label
_atom_site_type_symbol
_atom_site_fract_x
_atom_site_fract_y
_atom_site_fract_z
Ni1 Ni 0.750 0.750 0.750
Zn1 Zn 0.250 0.250 0.250
Nd1 Nd 0.500 0.500 0.500
Cd1 Cd 0.000 0.000 0.000
# E_form = -0.1950 eV per atom
# SG = F-43m (216)
# energy = -13.518 eV for the cell shown